An optimized crystal structure of Li2CaMg, computed with PBE-GGA.

Geometry as POSCAR:
```
Li2CaMg
1.0
-3.287 0.955 -1.370
1.298 -0.518 -3.474
-0.888 -7.682 -3.226
Ca Mg Li
1 1 2
Cartesian
-1.335 -5.671 -5.712
0.306 -3.767 -3.360
1.190 -0.872 -3.463
-1.536 -1.553 -2.358
```

Computed properties:
Formation energy from the elements = -0.079 eV/f.u.
M_tot = 0.00 Bohr magnetons per cell